A plane-wave DFT calculation with GGA-PBE was carried out for a relaxed structure of K2LaAu.

Unit cell a=3.9216 b=4.6339 c=20.4685 alpha=90.00 beta=90.00 gamma=90.00
Atoms (fractional coordinates):
1 K 0.0000 0.0000 0.1588
2 K 0.0000 0.0000 0.8412
3 K 0.5000 0.5000 0.3412
4 K 0.5000 0.5000 0.6588
5 La 0.0000 0.5000 0.0000
6 La 0.5000 0.0000 0.5000
7 Au 0.0000 0.5000 0.5000
8 Au 0.5000 0.0000 0.0000

Its raw total energy is -2.7780 eV per atom. The value obtained for the formation enthalpy at 0 K is -0.178 eV/atom. The calculation puts the energy above the most stable polymorph in this dataset at 39.0 meV per atom.